a | This record from Alexandria describes crystalline Tc3Os at its relaxed geometry. The functional is GGA-PBE.

```
Tc3Os
1.0
4.787 0.000 0.000
0.000 8.788 0.000
0.000 0.000 5.512
Tc Os
12 4
Direct
0.084 0.250 0.125
0.246 0.503 0.376
0.246 0.997 0.376
0.254 0.003 0.876
0.254 0.497 0.876
0.416 0.750 0.625
0.584 0.250 0.375
0.746 0.503 0.124
0.746 0.997 0.124
0.754 0.003 0.624
0.754 0.497 0.624
0.916 0.750 0.875
0.084 0.250 0.624
0.416 0.750 0.124
0.584 0.250 0.876
0.916 0.750 0.376
```

Properties
- total magnetic moment (μB per formula unit) = 0.000
- symmetry = Pnma


b | This record from Alexandria describes crystalline Tc3Os at its relaxed geometry. The functional is GGA-PBE.

```
Tc3Os
1.0
2.761 0.000 0.000
0.000 8.775 0.000
0.000 0.000 4.777
Tc Os
6 2
Direct
0.000 0.000 0.000
0.000 0.249 0.665
0.000 0.751 0.665
0.500 0.251 0.165
0.500 0.500 0.500
0.500 0.749 0.165
0.000 0.500 0.000
0.500 0.000 0.500
```

Properties
- total magnetic moment (μB per formula unit) = 0.000
- symmetry = Imm2


c | This record from Alexandria describes crystalline Tc3Os at its relaxed geometry. The functional is GGA-PBE.

```
Tc3Os
1.0
5.488 0.000 0.000
0.000 7.764 0.000
0.000 0.000 2.730
Tc Os
6 2
Direct
0.000 0.000 0.000
0.250 0.250 0.500
0.250 0.750 0.500
0.500 0.500 0.000
0.750 0.250 0.500
0.750 0.750 0.500
0.000 0.500 0.000
0.500 0.000 0.000
```

Properties
- total magnetic moment (μB per formula unit) = 0.000
- symmetry = Cmmm


Stability, descending: b, a, c


a | This record from Alexandria describes crystalline Tc3Os at its relaxed geometry. The functional is GGA-PBE.

```
Tc3Os
1.0
4.740 0.000 0.000
0.000 4.740 0.000
0.000 0.000 4.740
Tc Os
3 1
Direct
0.000 0.000 0.500
0.000 0.500 0.000
0.500 0.000 0.000
0.000 0.000 0.000
```

Properties
- total magnetic moment (μB per formula unit) = 3.386
- symmetry = Pm-3m


b | This record from Alexandria describes crystalline Tc3Os at its relaxed geometry. The functional is GGA-PBE.

```
Tc3Os
1.0
8.743 0.000 0.000
-4.372 7.572 0.000
0.000 0.000 2.672
Tc Os
9 3
Direct
0.000 0.500 0.000
0.167 0.333 0.333
0.167 0.833 0.333
0.333 0.167 0.667
0.500 0.000 0.000
0.500 0.500 0.000
0.667 0.833 0.333
0.833 0.167 0.667
0.833 0.667 0.667
0.000 0.000 0.000
0.333 0.667 0.667
0.667 0.333 0.333
```

Properties
- total magnetic moment (μB per formula unit) = 0.000
- symmetry = R-3m


c | This record from Alexandria describes crystalline Tc3Os at its relaxed geometry. The functional is GGA-PBE.

```
Tc3Os
1.0
2.762 0.000 0.000
-1.381 2.392 0.000
0.000 0.000 8.763
Tc Os
3 1
Direct
0.000 0.000 0.000
0.333 0.667 0.251
0.333 0.667 0.749
0.000 0.000 0.500
```

Properties
- total magnetic moment (μB per formula unit) = 0.000
- symmetry = P-6m2


d | This record from Alexandria describes crystalline Tc3Os at its relaxed geometry. The functional is GGA-PBE.

```
Tc3Os
1.0
7.513 0.000 0.000
0.000 7.462 0.000
0.000 0.000 4.448
Tc Os
12 4
Direct
0.000 0.077 0.250
0.000 0.923 0.750
0.171 0.253 0.750
0.171 0.747 0.250
0.329 0.247 0.250
0.329 0.753 0.750
0.500 0.423 0.750
0.500 0.577 0.250
0.671 0.247 0.250
0.671 0.753 0.750
0.829 0.253 0.750
0.829 0.747 0.250
0.000 0.418 0.250
0.000 0.582 0.750
0.500 0.082 0.750
0.500 0.918 0.250
```

Properties
- total magnetic moment (μB per formula unit) = 0.000
- symmetry = Cmcm


Stability, descending: c, d, b, a